The following is a DFT calculation (PBE) of a relaxed structure of Li2CdAuCl.

SG: P4/mmm (123)
E, Ry per atom: -0.135
DOS(E_F), states/eV per cell: 0.31
Uncorrected formation energy, eV/atom: 0.13

a b c (Å): 5.5044 5.5044 5.1320
angles (deg): 90.00 90.00 90.00
Closest atoms and distances in Å follow each position.
Fractional positions:
Cl: 0.0000 0.0000 0.5000  2 Cd 2.57
Au: 0.5000 0.5000 0.5000  8 Li 3.76, 4 Cl 3.89
Li: 0.0000 0.5000 0.0000  2 Cd 2.75
Li: 0.5000 0.0000 0.0000  2 Cd 2.75
Cd: 0.0000 0.0000 0.0000  2 Cl 2.57, 4 Li 2.75

The following is a DFT calculation (PBE) of a relaxed structure of MgGeTe2.

SG: R3m (160)
E, Ry per atom: -0.255
DOS(E_F), states/eV per cell: 0.47
Uncorrected formation energy, eV/atom: -0.34
Offset from the most stable computed form, eV per atom: 0.077

a b c (Å): 4.1827 4.1827 7.6842
angles (deg): 74.21 74.21 60.00
Closest atoms and distances in Å follow each position.
Fractional positions:
Mg: 0.4984 0.4984 0.5048  6 Te 3.02-3.08
Ge: 0.6667 0.6667 0.9999  6 Te 2.99-3.01
Te: 0.0825 0.0825 0.7526  3 Ge 3.01, 3 Mg 3.02
Te: 0.2524 0.2524 0.2427  3 Ge 2.99, 3 Mg 3.08

The following is a DFT calculation (PBE) of a relaxed structure of TmCuF5.

SG: C2/c (15)
E, Ry per atom: -0.410
DOS(E_F), states/eV per cell: 0.92
Uncorrected formation energy, eV/atom: -3.01

a b c (Å): 5.6046 5.6046 7.1249
angles (deg): 72.86 72.86 79.20
Closest atoms and distances in Å follow each position.
Fractional positions:
Tm: 0.5582 0.4418 0.2500  7 F 2.13-2.29
Tm: 0.4418 0.5582 0.7500  7 F 2.13-2.29
Cu: 0.0000 0.0000 0.0000  4 F 1.89-1.98
Cu: 0.0000 0.0000 0.5000  4 F 1.89-1.98
F: 0.8089 0.7247 0.1278  1 Cu 1.89
F: 0.3149 0.6549 0.4621  2 Tm 2.19-2.25, 1 Cu 2.38
F: 0.7247 0.8089 0.6278  1 Cu 1.89
F: 0.8788 0.1212 0.2500  2 Cu 1.98
F: 0.3451 0.6851 0.0379  2 Tm 2.19-2.25, 1 Cu 2.38
F: 0.6549 0.3149 0.9621  2 Tm 2.19-2.25, 1 Cu 2.38
F: 0.1212 0.8788 0.7500  2 Cu 1.98
F: 0.2753 0.1911 0.3722  1 Cu 1.89
F: 0.6851 0.3451 0.5379  2 Tm 2.19-2.25, 1 Cu 2.38
F: 0.1911 0.2753 0.8722  1 Cu 1.89

The following is a DFT calculation (PBE) of a relaxed structure of Pm4Hg3C.

SG: I-43m (217)
E, Ry per atom: -0.288
Formation energy from the elements, meV per atom: -270
DOS(E_F), states/eV per cell: 5.99

a b c (Å): 6.5628 6.5628 6.5628
angles (deg): 109.47 109.47 109.47
Closest atoms and distances in Å follow each position.
Fractional positions:
Pm: 0.6358 0.0000 0.0000  1 C 2.39
Pm: 0.0000 0.0000 0.6358  1 C 2.39
Pm: 0.3642 0.3642 0.3642  1 C 2.39
Pm: 0.0000 0.6358 0.0000  1 C 2.39
Hg: 0.5000 0.5000 0.0000  4 Pm 3.10
Hg: 0.0000 0.5000 0.5000  4 Pm 3.10
Hg: 0.5000 0.0000 0.5000  4 Pm 3.10
C: 0.0000 0.0000 0.0000  4 Pm 2.39

The following is a DFT calculation (PBE) of a relaxed structure of LiTc.

SG: Pnma (62)
E, Ry per atom: -0.436
Formation energy from the elements, meV per atom: 213
DOS(E_F), states/eV per cell: 10.34
Offset from the most stable computed form, eV per atom: 0.119

a b c (Å): 8.6987 4.2075 6.0671
angles (deg): 90.00 90.00 90.00
Closest atoms and distances in Å follow each position.
Fractional positions:
Li: 0.8725 0.2500 0.0103  4 Li 2.51-2.72, 3 Tc 2.54-2.72
Li: 0.3725 0.2500 0.4897  4 Li 2.51-2.72, 3 Tc 2.54-2.72
Li: 0.1275 0.7500 0.9897  4 Li 2.51-2.72, 3 Tc 2.54-2.72
Li: 0.6275 0.7500 0.5103  4 Li 2.51-2.72, 3 Tc 2.54-2.72
Li: 0.1168 0.2500 0.2310  4 Li 2.51-2.72, 4 Tc 2.58-2.79
Li: 0.6168 0.2500 0.2690  4 Li 2.51-2.72, 4 Tc 2.58-2.79
Li: 0.8832 0.7500 0.7690  4 Li 2.51-2.72, 4 Tc 2.58-2.79
Li: 0.3832 0.7500 0.7310  4 Li 2.51-2.72, 4 Tc 2.58-2.79
Tc: 0.8619 0.2500 0.5092  4 Tc 2.48-2.70, 3 Li 2.58-2.64
Tc: 0.3619 0.2500 0.9908  4 Tc 2.48-2.70, 3 Li 2.58-2.64
Tc: 0.1381 0.7500 0.4908  4 Tc 2.48-2.70, 3 Li 2.58-2.64
Tc: 0.6381 0.7500 0.0092  4 Tc 2.48-2.70, 3 Li 2.58-2.64
Tc: 0.1230 0.2500 0.7061  4 Tc 2.48-2.70, 3 Li 2.54-2.72
Tc: 0.6230 0.2500 0.7939  4 Tc 2.48-2.70, 3 Li 2.54-2.72
Tc: 0.8770 0.7500 0.2939  4 Tc 2.48-2.70, 3 Li 2.54-2.72
Tc: 0.3770 0.7500 0.2061  4 Tc 2.48-2.70, 3 Li 2.54-2.72

The following is a DFT calculation (PBE) of a relaxed structure of AcMg2Hg.

SG: P4/mmm (123)
E, Ry per atom: -0.150
Formation energy from the elements, meV per atom: -141
DOS(E_F), states/eV per cell: 3.63
Offset from the most stable computed form, eV per atom: 0.130

a b c (Å): 3.7056 3.7056 8.0941
angles (deg): 90.00 90.00 90.00
Closest atoms and distances in Å follow each position.
Fractional positions:
Mg: 0.0000 0.0000 0.8064  4 Hg 3.05, 1 Mg 3.13
Mg: 0.0000 0.0000 0.1936  4 Hg 3.05, 1 Mg 3.13
Ac: 0.5000 0.5000 0.5000  8 Mg 3.61, 4 Ac 3.71
Hg: 0.5000 0.5000 0.0000  8 Mg 3.05

The following is a DFT calculation (PBE) of a relaxed structure of AgWAu2.

SG: I4/mmm (139)
E, Ry per atom: -0.370
Formation energy from the elements, meV per atom: 558
DOS(E_F), states/eV per cell: 3.19
Offset from the most stable computed form, eV per atom: 0.328

a b c (Å): 4.7956 4.7956 4.7956
angles (deg): 126.39 126.39 79.24
Closest atoms and distances in Å follow each position.
Fractional positions:
Au: 0.0000 0.0000 0.0000  4 W 2.84, 4 Ag 2.84, 4 Au 3.06
Au: 0.5000 0.5000 0.0000  4 W 2.84, 4 Ag 2.84, 4 Au 3.06
Ag: 0.7500 0.2500 0.5000  8 Au 2.84, 4 W 3.06
W: 0.2500 0.7500 0.5000  8 Au 2.84, 4 Ag 3.06

The following is a DFT calculation (PBE) of a relaxed structure of Zn4SiNi.

SG: F-43m (216)
E, Ry per atom: -0.185
DOS(E_F), states/eV per cell: 1.71
Uncorrected formation energy, eV/atom: 0.20

a b c (Å): 4.9782 4.9782 4.9782
angles (deg): 60.00 60.00 60.00
Closest atoms and distances in Å follow each position.
Fractional positions:
Zn: 0.8729 0.3757 0.3757  6 Zn 2.47-2.50
Zn: 0.3757 0.3757 0.8729  6 Zn 2.47-2.50
Zn: 0.3757 0.8729 0.3757  6 Zn 2.47-2.50
Zn: 0.3757 0.3757 0.3757  6 Zn 2.47-2.50
Si: 0.0000 0.0000 0.0000  12 Zn 2.92, 4 Ni 3.05
Ni: 0.7500 0.7500 0.7500  12 Zn 2.92, 4 Si 3.05

The following is a DFT calculation (PBE) of a relaxed structure of AlTlCd.

SG: P6_3/mmc (194)
E, Ry per atom: -0.139
Formation energy from the elements, meV per atom: 448
DOS(E_F), states/eV per cell: 4.14

a b c (Å): 4.6487 4.6487 11.0944
angles (deg): 90.00 90.00 120.00
Closest atoms and distances in Å follow each position.
Fractional positions:
Tl: 0.0000 0.0000 0.0000  2 Al 2.77
Tl: 0.0000 0.0000 0.5000  2 Al 2.77
Al: 0.0000 0.0000 0.2500  3 Cd 2.68, 2 Tl 2.77
Al: 0.0000 0.0000 0.7500  3 Cd 2.68, 2 Tl 2.77
Cd: 0.3333 0.6667 0.2500  3 Al 2.68
Cd: 0.6667 0.3333 0.7500  3 Al 2.68

The following is a DFT calculation (PBE) of a relaxed structure of Si2AsSe.

SG: P4mm (99)
E, Ry per atom: -0.340
DOS(E_F), states/eV per cell: 1.20
Uncorrected formation energy, eV/atom: 0.12
Offset from the most stable computed form, eV per atom: 0.133

a b c (Å): 3.7309 3.7302 5.5890
angles (deg): 90.00 90.00 90.00
Closest atoms and distances in Å follow each position.
Fractional positions:
As: 0.0000 0.0000 0.3985  5 Si 2.51-2.65
Se: 0.5000 0.5000 0.9059  5 Si 2.47-2.66
Si: 0.0000 0.0000 0.8470  1 As 2.51, 4 Se 2.66
Si: 0.5000 0.5000 0.3486  1 Se 2.47, 4 As 2.65

The following is a DFT calculation (PBE) of a relaxed structure of Sc12Tl5Cd2.

SG: C2/m (12)
E, Ry per atom: -0.353
Formation energy from the elements, meV per atom: -85
DOS(E_F), states/eV per cell: 23.90

a b c (Å): 8.9615 7.8061 8.1024
angles (deg): 88.61 90.00 125.03
Closest atoms and distances in Å follow each position.
Fractional positions:
Sc: 0.9064 0.8127 0.1261  2 Cd 3.02, 3 Tl 3.06-3.33, 1 Sc 3.10
Sc: 0.0315 0.7050 0.7601  1 Cd 2.92, 2 Tl 3.02-3.21, 2 Sc 3.03-3.21
Sc: 0.6735 0.7050 0.7601  1 Cd 2.92, 2 Tl 3.02-3.21, 2 Sc 3.03-3.21
Sc: 0.2019 0.7998 0.3847  4 Sc 2.99-3.32, 4 Tl 3.08-3.30, 1 Cd 3.34
Sc: 0.5979 0.7998 0.3847  4 Sc 2.99-3.32, 4 Tl 3.08-3.30, 1 Cd 3.34
Sc: 0.4242 0.8484 0.7281  2 Tl 2.80-3.04, 4 Sc 2.99-3.03, 2 Cd 3.08
Sc: 0.5758 0.1516 0.2719  2 Tl 2.80-3.04, 4 Sc 2.99-3.03, 2 Cd 3.08
Sc: 0.7981 0.2002 0.6153  4 Sc 2.99-3.32, 4 Tl 3.08-3.30, 1 Cd 3.34
Sc: 0.4021 0.2002 0.6153  4 Sc 2.99-3.32, 4 Tl 3.08-3.30, 1 Cd 3.34
Sc: 0.9685 0.2950 0.2399  1 Cd 2.92, 2 Tl 3.02-3.21, 2 Sc 3.03-3.21
Sc: 0.3265 0.2950 0.2399  1 Cd 2.92, 2 Tl 3.02-3.21, 2 Sc 3.03-3.21
Sc: 0.0936 0.1873 0.8739  2 Cd 3.02, 3 Tl 3.06-3.33, 1 Sc 3.10
Tl: 0.2350 0.4699 0.5618  4 Sc 2.80-3.08, 1 Tl 3.06
Tl: 0.3192 0.6384 0.0693  6 Sc 3.02-3.33, 2 Cd 3.03
Tl: 0.0000 0.0000 0.5000  2 Tl 3.06, 10 Sc 3.15-3.29
Tl: 0.6808 0.3616 0.9307  6 Sc 3.02-3.33, 2 Cd 3.03
Tl: 0.7650 0.5301 0.4382  4 Sc 2.80-3.08, 1 Tl 3.06
Cd: 0.7112 0.0000 0.0000  6 Sc 2.92-3.08, 2 Tl 3.03
Cd: 0.2888 0.0000 0.0000  6 Sc 2.92-3.08, 2 Tl 3.03

The following is a DFT calculation (PBE) of a relaxed structure of CsBa2OsO5.

SG: Immm (71)
E, Ry per atom: -0.467
DOS(E_F), states/eV per cell: 4.54
Uncorrected formation energy, eV/atom: -1.83

a b c (Å): 3.9959 6.7202 7.2215
angles (deg): 117.73 106.06 90.00
Closest atoms and distances in Å follow each position.
Fractional positions:
Cs: 0.0000 0.5000 0.0000  10 O 3.19-3.36
Ba: 0.2245 0.2245 0.4490  7 O 2.72-2.73
Ba: 0.7755 0.7755 0.5510  7 O 2.72-2.73
Os: 0.5000 0.0000 0.0000  6 O 2.00-2.02
O: 0.6227 0.9189 0.2454  1 Os 2.02
O: 0.3773 0.0811 0.7546  1 Os 2.02
O: 0.3773 0.6735 0.7546  1 Os 2.02
O: 0.6227 0.3265 0.2454  1 Os 2.02
O: 0.0000 0.0000 0.0000  2 Os 2.00

The following is a DFT calculation (PBE) of a relaxed structure of FeAsRu.

SG: P-6m2 (187)
E, Ry per atom: -0.545
Formation energy from the elements, meV per atom: 50
DOS(E_F), states/eV per cell: 1.61

a b c (Å): 4.1446 4.1446 2.8710
angles (deg): 90.00 90.00 120.00
Closest atoms and distances in Å follow each position.
Fractional positions:
As: 0.0000 0.0000 0.8333  3 Ru 2.39
Fe: 0.6667 0.3333 0.3333  6 Ru 2.79, 6 As 2.79, 2 Fe 2.87
Ru: 0.3333 0.6667 0.8333  3 As 2.39

The following is a DFT calculation (PBE) of a relaxed structure of LaZr2RhN4.

SG: Cmcm (63)
E, Ry per atom: -0.658
DOS(E_F), states/eV per cell: 5.36
Uncorrected formation energy, eV/atom: -1.11

a b c (Å): 3.2705 5.9882 11.5151
angles (deg): 90.00 90.00 105.85
Closest atoms and distances in Å follow each position.
Fractional positions:
La: 0.1107 0.2214 0.7500  6 N 2.45-2.70
La: 0.8893 0.7786 0.2500  6 N 2.45-2.70
Zr: 0.3687 0.7374 0.5497  5 N 2.14-2.38
Zr: 0.6313 0.2626 0.0497  5 N 2.14-2.38
Zr: 0.6313 0.2626 0.4503  5 N 2.14-2.38
Zr: 0.3687 0.7374 0.9503  5 N 2.14-2.38
Rh: 0.8471 0.6942 0.7500  4 N 2.04-2.12
Rh: 0.1529 0.3058 0.2500  4 N 2.04-2.12
N: 0.2696 0.5392 0.1075  1 Rh 2.12, 1 Zr 2.14
N: 0.7304 0.4608 0.6075  1 Rh 2.12, 1 Zr 2.14
N: 0.7304 0.4608 0.8925  1 Rh 2.12, 1 Zr 2.14
N: 0.2696 0.5392 0.3925  1 Rh 2.12, 1 Zr 2.14
N: 0.0000 0.0000 0.5000  4 Zr 2.30
N: 0.0000 0.0000 0.0000  4 Zr 2.30
N: 0.4527 0.9054 0.7500  2 Rh 2.04
N: 0.5473 0.0946 0.2500  2 Rh 2.04

The following is a DFT calculation (PBE) of a relaxed structure of SbTeCl2.

SG: Pm (6)
E, Ry per atom: -0.230
DOS(E_F), states/eV per cell: 0.45
Uncorrected formation energy, eV/atom: -0.39
Offset from the most stable computed form, eV per atom: 0.139

a b c (Å): 4.1709 5.8525 5.9334
angles (deg): 59.47 90.00 90.00
Closest atoms and distances in Å follow each position.
Fractional positions:
Sb: 0.0000 0.5394 0.5000  1 Cl 2.44
Te: 0.5000 0.7458 0.6960  2 Sb 2.93, 2 Cl 2.94-2.98
Cl: 0.0000 0.9249 0.0593  1 Sb 2.44
Cl: 0.5000 0.2899 0.2447  2 Te 2.94-2.98

The following is a DFT calculation (PBE) of a relaxed structure of La2VC.

SG: I-42d (122)
E, Ry per atom: -0.509
Formation energy from the elements, meV per atom: 117
DOS(E_F), states/eV per cell: 9.71

a b c (Å): 10.0260 10.0260 7.3652
angles (deg): 47.11 47.11 90.00
Closest atoms and distances in Å follow each position.
Fractional positions:
C: 0.5000 0.5000 0.0000  2 V 2.00
C: 0.2500 0.7500 0.5000  2 V 2.00
La: 0.4575 0.1250 0.2500  2 C 2.69
La: 0.2925 0.6250 0.2500  2 C 2.69
La: 0.3750 0.5425 0.7500  2 C 2.69
La: 0.8750 0.7075 0.7500  2 C 2.69
V: 0.0000 0.0000 0.0000  2 C 2.00
V: 0.7500 0.2500 0.5000  2 C 2.00

The following is a DFT calculation (PBE) of a relaxed structure of Sc2GaAs.

SG: Fm-3m (225)
E, Ry per atom: -0.419
Formation energy from the elements, meV per atom: -615
DOS(E_F), states/eV per cell: 5.97
Offset from the most stable computed form, eV per atom: 0.367

a b c (Å): 4.7910 4.7910 4.7910
angles (deg): 60.00 60.00 60.00
Closest atoms and distances in Å follow each position.
Fractional positions:
Sc: 0.2500 0.2500 0.2500  4 As 2.93, 4 Ga 2.93
Sc: 0.7500 0.7500 0.7500  4 As 2.93, 4 Ga 2.93
As: 0.5000 0.5000 0.5000  8 Sc 2.93
Ga: 0.0000 0.0000 0.0000  8 Sc 2.93

The following is a DFT calculation (PBE) of a relaxed structure of LiCd6.

SG: P4/mmm (123)
E, Ry per atom: -0.083
Formation energy from the elements, meV per atom: -73
DOS(E_F), states/eV per cell: 2.24
Offset from the most stable computed form, eV per atom: 0.000

a b c (Å): 4.7989 4.7989 6.9290
angles (deg): 90.00 90.00 90.00
Closest atoms and distances in Å follow each position.
Fractional positions:
Li: 0.0000 0.0000 0.0000  8 Cd 3.01
Cd: 0.0000 0.0000 0.5000  8 Cd 2.91
Cd: 0.5000 0.5000 0.0000  8 Cd 3.01
Cd: 0.5000 0.0000 0.7380  4 Cd 2.91-3.01, 2 Li 3.01
Cd: 0.0000 0.5000 0.2620  4 Cd 2.91-3.01, 2 Li 3.01
Cd: 0.5000 0.0000 0.2620  4 Cd 2.91-3.01, 2 Li 3.01
Cd: 0.0000 0.5000 0.7380  4 Cd 2.91-3.01, 2 Li 3.01

The following is a DFT calculation (PBE) of a relaxed structure of TaAg2As.

SG: Cm (8)
E, Ry per atom: -0.394
Formation energy from the elements, meV per atom: 186
DOS(E_F), states/eV per cell: 1.79

a b c (Å): 5.2262 5.2262 5.4876
angles (deg): 66.99 66.99 31.72
Closest atoms and distances in Å follow each position.
Fractional positions:
As: 0.5076 0.5076 0.3865  3 Ta 2.72, 2 As 2.86, 2 Ag 2.93
Ag: 0.9950 0.9950 0.9310  5 Ag 2.71-2.86, 2 As 2.93, 2 Ta 3.00
Ag: 0.7531 0.7531 0.8286  5 Ag 2.71-2.86, 2 Ta 3.00
Ta: 0.2444 0.2444 0.3539  3 As 2.72, 2 Ta 2.86, 4 Ag 3.00

The following is a DFT calculation (PBE) of a relaxed structure of Cr2SiAu.

SG: I-42d (122)
E, Ry per atom: -0.476
DOS(E_F), states/eV per cell: 6.30
Uncorrected formation energy, eV/atom: 0.51

a b c (Å): 6.9961 6.9961 5.6480
angles (deg): 51.73 51.73 90.00
Closest atoms and distances in Å follow each position.
Fractional positions:
Cr: 0.5912 0.1250 0.2500  2 Si 2.41
Cr: 0.1588 0.6250 0.2500  2 Si 2.41
Cr: 0.3750 0.4088 0.7500  2 Si 2.41
Cr: 0.8750 0.8412 0.7500  2 Si 2.41
Si: 0.5000 0.5000 0.0000  4 Cr 2.41
Si: 0.2500 0.7500 0.5000  4 Cr 2.41
Au: 0.0000 0.0000 0.0000  2 Si 2.73, 4 Cr 2.73
Au: 0.7500 0.2500 0.5000  2 Si 2.73, 4 Cr 2.73